1.
Entry from Alexandria: a crystal of CaCdPt2 relaxed with PBEsol (SCAN).

Values from the calculation:
For the electronic total energy, the calculation gives -45.765 eV per atom.

Cell: 4.302 4.302 7.756 Å, 90.00 90.00 90.00°
Space group I4/mmm (No. 139)
Asymmetric unit:
Ca 0.000 0.000 0.000
Cd 0.000 0.000 0.500
Pt 0.000 0.500 0.250

***

2.
Entry from Alexandria: a crystal of KTc2MoS relaxed with PBEsol (SCAN).

Values from the calculation:
For the electronic total energy, the calculation gives -23.363 eV per atom. The uncorrected formation energy is 1229 meV/atom.

Cell: 4.353 4.353 5.128 Å, 90.00 90.00 90.00°
Space group P4/mmm (No. 123)
Asymmetric unit:
K 0.000 0.000 0.000
Tc 0.000 0.500 0.500
Mo 0.500 0.500 0.000
S 0.000 0.000 0.500